# 1
Ag2OsAu | PBE | optimized geometry

Properties
relative energy among the computed polymorphs	0.346	eV/atom
N(E_F)	0.78	states/eV/atom
electronic total energy	-4.325	eV/atom

a b c (Å): 4.2148 4.2148 7.6749
angles (deg): 90.00 90.00 90.00
Space group I-4m2 (No. 119)
Asymmetric unit:
1 Ag 0.0000 0.0000 0.0000 (multiplicity 2)
2 Ag 0.0000 0.5000 0.2500 (multiplicity 2)
3 Os 0.0000 0.0000 0.5000 (multiplicity 2)
4 Au 0.0000 0.5000 0.7500 (multiplicity 2)



# 2
Ag2OsAuSe | PBE | optimized geometry

Properties
raw formation energy	34.17	kcal/mol of atoms
N(E_F)	1.04	states/eV/atom
electronic total energy	-3.257	eV/atom

a b c (Å): 5.1136 5.1136 5.0023
angles (deg): 90.00 90.00 90.00
Space group P4/mmm (No. 123)
Asymmetric unit:
1 Ag 0.0000 0.5000 0.0000 (multiplicity 2)
2 Os 0.0000 0.0000 0.0000 (multiplicity 1)
3 Au 0.0000 0.0000 0.5000 (multiplicity 1)
4 Se 0.5000 0.5000 0.5000 (multiplicity 1)



# 3
TcAg2OsAu | PBE | optimized geometry

Properties
N(E_F)	0.58	states/eV/atom
electronic total energy	-4.081	eV/atom

a b c (Å): 4.9895 4.9895 4.9917
angles (deg): 90.00 90.00 90.00
Space group P4/mmm (No. 123)
Asymmetric unit:
1 Tc 0.0000 0.0000 0.0000 (multiplicity 1)
2 Ag 0.0000 0.5000 0.5000 (multiplicity 2)
3 Os 0.5000 0.5000 0.0000 (multiplicity 1)
4 Au 0.5000 0.5000 0.5000 (multiplicity 1)